Record 1
# Sc2SiRu | Alexandria via LeMat-Bulk | PBE-GGA | optimized geometry
# ΔE_f (raw) = -336 meV/atom
# DOS at the Fermi energy = 9.2 states/eV/cell
# ρ = 5.02 g cm⁻³
# Final energy = -28.71 eV per formula unit
data_Sc2SiRu
_chemical_formula_sum 'Sc6 Si3 Ru3'
_space_group_name_H-M_alt 'R -3 m'
_space_group_IT_number 166
_space_group_name_Hall '-R 3 2"'
_cell_length_a 3.2109
_cell_length_b 3.2109
_cell_length_c 24.3298
_cell_angle_alpha 90.00
_cell_angle_beta 90.00
_cell_angle_gamma 120.00
loop_
_atom_site_label
_atom_site_type_symbol
_atom_site_fract_x
_atom_site_fract_y
_atom_site_fract_z
_atom_site_occupancy
Sc1 Sc 0.0000 0.0000 0.2453 1
Si1 Si 0.0000 0.0000 0.0000 1
Ru1 Ru 0.0000 0.0000 0.5000 1

---

Record 2
# BaSrCa2Hg | Alexandria via LeMat-Bulk | PBE-GGA | optimized geometry
# DOS at the Fermi energy = 6.7 states/eV/cell
# ρ = 3.58 g cm⁻³
# Excess energy over the best structure of this formula in the dataset = 0 kJ/mol of formula units
# Final energy = -8.73 eV per formula unit
# Formation enthalpy at 0 K = -165 meV per atom
data_BaSrCa2Hg
_chemical_formula_sum 'Ba1 Sr1 Ca2 Hg1'
_space_group_name_H-M_alt 'P 4/m m m'
_space_group_IT_number 123
_space_group_name_Hall '-P 4 2'
_cell_length_a 6.095
_cell_length_b 6.095
_cell_length_c 6.312
_cell_angle_alpha 90.00
_cell_angle_beta 90.00
_cell_angle_gamma 90.00
loop_
_atom_site_label
_atom_site_type_symbol
_atom_site_fract_x
_atom_site_fract_y
_atom_site_fract_z
_atom_site_occupancy
Ba1 Ba 0.000 0.000 0.000 1
Sr1 Sr 0.500 0.500 0.000 1
Ca1 Ca 0.000 0.500 0.500 1
Hg1 Hg 0.500 0.500 0.500 1

---

Record 3
# Ga2FeSe2 | Alexandria via LeMat-Bulk | PBE-GGA | optimized geometry
# ΔE_f (raw) = 156 meV/atom
# DOS at the Fermi energy = 5.7 states/eV/cell
# ρ = 5.77 g cm⁻³
# Excess energy over the best structure of this formula in the dataset = 0 kJ/mol of formula units
# Final energy = -20.71 eV per formula unit
data_Ga2FeSe2
_chemical_formula_sum 'Ga4 Fe2 Se4'
_space_group_name_H-M_alt 'I 4/m m m'
_space_group_IT_number 139
_space_group_name_Hall '-I 4 2'
_cell_length_a 5.173
_cell_length_b 5.173
_cell_length_c 7.599
_cell_angle_alpha 90.00
_cell_angle_beta 90.00
_cell_angle_gamma 90.00
loop_
_atom_site_label
_atom_site_type_symbol
_atom_site_fract_x
_atom_site_fract_y
_atom_site_fract_z
_atom_site_occupancy
Ga1 Ga 0.000 0.000 0.161 1
Fe1 Fe 0.000 0.000 0.500 1
Se1 Se 0.000 0.500 0.250 1

---

Record 4
# LaPm2Rh | Alexandria via LeMat-Bulk | PBE-GGA | optimized geometry
# DOS at the Fermi energy = 19.4 states/eV/cell
# ρ = 7.39 g cm⁻³
# Excess energy over the best structure of this formula in the dataset = 0 kJ/mol of formula units
# Final energy = -23.59 eV per formula unit
# Formation enthalpy at 0 K = -452 meV per atom
data_LaPm2Rh
_chemical_formula_sum 'La4 Pm8 Rh4'
_space_group_name_H-M_alt 'P n m a'
_space_group_IT_number 62
_cell_length_a 7.328
_cell_length_b 9.960
_cell_length_c 6.548
_cell_angle_alpha 90.00
_cell_angle_beta 90.00
_cell_angle_gamma 90.00
loop_
_space_group_symop_operation_xyz
'x,y,z'
'-x,-y,-z'
'-x+1/2,-y,z+1/2'
'x+1/2,y,-z+1/2'
'x+1/2,-y+1/2,-z+1/2'
'-x+1/2,y+1/2,z+1/2'
'-x,y+1/2,-z'
'x,-y+1/2,z'
loop_
_atom_site_label
_atom_site_type_symbol
_atom_site_fract_x
_atom_site_fract_y
_atom_site_fract_z
_atom_site_occupancy
La1 La 0.041 0.250 0.144 1
Pm1 Pm 0.174 0.067 0.669 1
Rh1 Rh 0.124 0.750 0.438 1

---

Record 5
# Ca2NdTe4Pb | Alexandria via LeMat-Bulk | PBE-GGA | optimized geometry
# ΔE_f (raw) = -1229 meV/atom
# DOS at the Fermi energy = 3.2 states/eV/cell
# ρ = 5.88 g cm⁻³
# Final energy = -34.88 eV per formula unit
data_Ca2NdTe4Pb
_chemical_formula_sum 'Ca2 Nd1 Te4 Pb1'
_space_group_name_H-M_alt 'P 1 2/m 1'
_space_group_IT_number 10
_cell_length_a 7.879
_cell_length_b 4.508
_cell_length_c 7.925
_cell_angle_alpha 90.00
_cell_angle_beta 109.23
_cell_angle_gamma 90.00
loop_
_space_group_symop_operation_xyz
'x,y,z'
'-x,-y,-z'
'-x,y,-z'
'x,-y,z'
loop_
_atom_site_label
_atom_site_type_symbol
_atom_site_fract_x
_atom_site_fract_y
_atom_site_fract_z
_atom_site_occupancy
Ca1 Ca 0.000 0.000 0.000 1
Ca2 Ca 0.000 0.500 0.500 1
Nd1 Nd 0.500 0.000 0.500 1
Te1 Te 0.244 0.000 0.745 1
Te2 Te 0.245 0.500 0.250 1
Pb1 Pb 0.500 0.500 0.000 1

---

Record 6
# AlTe2Ir | Alexandria via LeMat-Bulk | PBE-GGA | optimized geometry
# ΔE_f (raw) = 201 meV/atom
# DOS at the Fermi energy = 3.7 states/eV/cell
# ρ = 8.79 g cm⁻³
# Excess energy over the best structure of this formula in the dataset = 176 kJ/mol of formula units
# Final energy = -18.08 eV per formula unit
data_AlTe2Ir
_chemical_formula_sum 'Al2 Te4 Ir2'
_space_group_name_H-M_alt 'I 4/m m m'
_space_group_IT_number 139
_space_group_name_Hall '-I 4 2'
_cell_length_a 5.534
_cell_length_b 5.534
_cell_length_c 5.853
_cell_angle_alpha 90.00
_cell_angle_beta 90.00
_cell_angle_gamma 90.00
loop_
_atom_site_label
_atom_site_type_symbol
_atom_site_fract_x
_atom_site_fract_y
_atom_site_fract_z
_atom_site_occupancy
Al1 Al 0.000 0.000 0.000 1
Te1 Te 0.000 0.500 0.000 1
Ir1 Ir 0.000 0.000 0.500 1

---

Record 7
# KGe3P | Alexandria via LeMat-Bulk | PBE-GGA | optimized geometry
# DOS at the Fermi energy = 5.7 states/eV/cell
# ρ = 2.99 g cm⁻³
# Excess energy over the best structure of this formula in the dataset = 906 kJ/mol of formula units
# Final energy = -10.82 eV per formula unit
# Formation enthalpy at 0 K = 1907 meV per atom
data_KGe3P
_chemical_formula_sum 'K1 Ge3 P1'
_space_group_name_H-M_alt 'P m -3 m'
_space_group_IT_number 221
_space_group_name_Hall '-P 4 2 3'
_cell_length_a 5.430
_cell_length_b 5.430
_cell_length_c 5.430
_cell_angle_alpha 90.00
_cell_angle_beta 90.00
_cell_angle_gamma 90.00
loop_
_atom_site_label
_atom_site_type_symbol
_atom_site_fract_x
_atom_site_fract_y
_atom_site_fract_z
_atom_site_occupancy
K1 K 0.000 0.000 0.000 1
Ge1 Ge 0.000 0.000 0.500 1
P1 P 0.500 0.500 0.500 1

---

Record 8
# Pb3AuO6 | Alexandria via LeMat-Bulk | PBE-GGA | optimized geometry
# ΔE_f (raw) = -632 meV/atom
# DOS at the Fermi energy = 17.5 states/eV/cell
# ρ = 9.97 g cm⁻³
# Final energy = -50.47 eV per formula unit
data_Pb3AuO6
_chemical_formula_sum 'Pb12 Au4 O24'
_space_group_name_H-M_alt 'C m c 21'
_space_group_IT_number 36
_cell_length_a 9.317
_cell_length_b 11.425
_cell_length_c 5.721
_cell_angle_alpha 90.00
_cell_angle_beta 90.00
_cell_angle_gamma 90.00
loop_
_space_group_symop_operation_xyz
'x,y,z'
'-x,-y,z+1/2'
'-x,y,z'
'x,-y,z+1/2'
'x+1/2,y+1/2,z'
'-x+1/2,-y+1/2,z+1/2'
'-x+1/2,y+1/2,z'
'x+1/2,-y+1/2,z+1/2'
loop_
_atom_site_label
_atom_site_type_symbol
_atom_site_fract_x
_atom_site_fract_y
_atom_site_fract_z
_atom_site_occupancy
Pb1 Pb 0.000 0.105 0.000 1
Pb2 Pb 0.205 0.379 0.946 1
Au1 Au 0.000 0.358 0.440 1
O1 O 0.000 0.283 0.773 1
O2 O 0.000 0.461 0.136 1
O3 O 0.152 0.025 0.731 1
O4 O 0.156 0.225 0.196 1

---

Record 9
# AcPmCuPb | Alexandria via LeMat-Bulk | PBE-GGA | optimized geometry
# DOS at the Fermi energy = 18.3 states/eV/cell
# ρ = 8.98 g cm⁻³
# Final energy = -17.66 eV per formula unit
# Formation enthalpy at 0 K = -250 meV per atom
data_AcPmCuPb
_chemical_formula_sum 'Ac4 Pm4 Cu4 Pb4'
_space_group_name_H-M_alt 'F -4 3 m'
_space_group_IT_number 216
_space_group_name_Hall 'F -4 2 3'
_cell_length_a 7.805
_cell_length_b 7.805
_cell_length_c 7.805
_cell_angle_alpha 90.00
_cell_angle_beta 90.00
_cell_angle_gamma 90.00
loop_
_atom_site_label
_atom_site_type_symbol
_atom_site_fract_x
_atom_site_fract_y
_atom_site_fract_z
_atom_site_occupancy
Ac1 Ac 0.000 0.000 0.000 1
Pm1 Pm 0.000 0.000 0.500 1
Cu1 Cu 0.250 0.250 0.750 1
Pb1 Pb 0.250 0.250 0.250 1

---

Record 10
# Ga2IrF2 | Alexandria via LeMat-Bulk | PBE-GGA | optimized geometry
# ΔE_f (raw) = -836 meV/atom
# DOS at the Fermi energy = 5.8 states/eV/cell
# ρ = 8.66 g cm⁻³
# Excess energy over the best structure of this formula in the dataset = 0 kJ/mol of formula units
# Final energy = -22.84 eV per formula unit
data_Ga2IrF2
_chemical_formula_sum 'Ga4 Ir2 F4'
_space_group_name_H-M_alt 'P 4/m b m'
_space_group_IT_number 127
_space_group_name_Hall '-P 4 2ab'
_cell_length_a 7.199
_cell_length_b 7.199
_cell_length_c 2.735
_cell_angle_alpha 90.00
_cell_angle_beta 90.00
_cell_angle_gamma 90.00
loop_
_atom_site_label
_atom_site_type_symbol
_atom_site_fract_x
_atom_site_fract_y
_atom_site_fract_z
_atom_site_occupancy
Ga1 Ga 0.249 0.251 0.000 1
Ir1 Ir 0.000 0.000 0.500 1
F1 F 0.108 0.392 0.500 1